Entry 1:
Below is Li2Tl at its PBEsol-relaxed geometry, with properties calculated at the SCAN level.

## Properties
The calculation puts the formation energy at -256 meV/atom. As for the uncorrected energy: -25.97 eV/atom. The space group is C2/m (12).

abc: 3.446 5.497 6.861
angles: 107.06 90.00 108.27
Positions (direct):
Li: 0.979 0.958 0.712
Tl: 0.680 0.359 0.636
Li: 0.343 0.686 0.943
Li: 0.657 0.314 0.057
Tl: 0.320 0.641 0.364
Li: 0.021 0.042 0.288

---

Entry 2:
Below is Os2RuRh at its PBEsol-relaxed geometry, with properties calculated at the SCAN level.

## Properties
The calculation puts the formation energy at 110 meV/atom. Its energy relative to the lowest polymorph listed for this composition is 0.06 eV per formula unit. As for the uncorrected energy: -52.98 eV/atom. The space group is P4/mmm (123).

abc: 3.787 3.787 3.810
angles: 90.00 90.00 90.00
Positions (direct):
Os: 0.000 0.500 0.000
Os: 0.500 0.000 0.000
Ru: 0.000 0.000 0.500
Rh: 0.500 0.500 0.500

---

Entry 3:
Below is ZrZn2Se at its PBEsol-relaxed geometry, with properties calculated at the SCAN level.

## Properties
The calculation puts the formation energy without anion corrections at -32.6 kJ/mol of atoms. As for the uncorrected energy: -19.79 eV/atom. The space group is P2/m (10).

abc: 3.326 4.259 5.113
angles: 103.68 90.00 90.00
Positions (direct):
Zn: 0.000 0.000 0.000
Zn: 0.500 0.500 0.000
Zr: 0.500 0.000 0.500
Se: 0.000 0.500 0.500

---

Entry 4:
Below is Li7CuSi2O8 at its PBEsol-relaxed geometry, with properties calculated at the SCAN level.

## Properties
The calculation puts the formation energy without anion corrections at -225.2 kJ/mol of atoms. As for the uncorrected energy: -7.99 eV/atom. The space group is C2/m (12).

abc: 6.268 7.696 8.249
angles: 92.23 112.33 90.00
Positions (direct):
O: 0.179 0.383 0.789
Li: 0.426 0.844 0.363
O: 0.051 0.241 0.102
O: 0.463 0.740 0.927
O: 0.984 0.225 0.400
O: 0.416 0.225 0.400
O: 0.016 0.775 0.600
O: 0.869 0.059 0.739
O: 0.821 0.617 0.211
O: 0.616 0.911 0.233
O: 0.584 0.775 0.600
Li: 0.000 0.000 0.000
Li: 0.348 0.851 0.697
Si: 0.569 0.714 0.138
Cu: 0.276 0.401 0.551
Cu: 0.724 0.599 0.449
Li: 0.831 0.374 0.176
Si: 0.431 0.286 0.862
Li: 0.169 0.626 0.824
Li: 0.063 0.156 0.637
Si: 0.852 0.848 0.705
O: 0.949 0.759 0.898
Li: 0.652 0.149 0.303
O: 0.384 0.089 0.767
Li: 0.574 0.156 0.637
Li: 0.345 0.374 0.176
Li: 0.932 0.299 0.864
O: 0.537 0.260 0.073
Li: 0.068 0.701 0.136
Si: 0.148 0.152 0.295
Li: 0.937 0.844 0.363
O: 0.390 0.617 0.211
O: 0.610 0.383 0.789
Li: 0.500 0.000 0.000
O: 0.131 0.941 0.261
Li: 0.655 0.626 0.824

---

- What is the formula in the second record?
  Os2RuRh